(1)
Here is a geometry-optimized BaLa2Hg structure from Alexandria. Energies are from GGA-PBE.

Structure (CIF):
```
data_BaLa2Hg
_chemical_formula_sum 'Ba1 La2 Hg1'
_cell_length_a 3.9005
_cell_length_b 5.9846
_cell_length_c 6.0870
_cell_angle_alpha 90.00
_cell_angle_beta 90.00
_cell_angle_gamma 90.00
_space_group_name_H-M_alt 'P 1'
_space_group_IT_number 1
_space_group_name_Hall 'P 1'
loop_
_atom_site_label
_atom_site_fract_x
_atom_site_fract_y
_atom_site_fract_z
La1 0.0000 0.0000 0.0000
La2 0.5000 0.5000 0.0000
Ba1 0.5000 0.0000 0.5000
Hg1 0.0000 0.5000 0.5000
```

***

(2)
Here is a geometry-optimized BaLa2Hg structure from Alexandria. Energies are from GGA-PBE.

Structure (CIF):
```
data_BaLa2Hg
_chemical_formula_sum 'Ba1 La2 Hg1'
_cell_length_a 6.0737
_cell_length_b 7.1558
_cell_length_c 3.8107
_cell_angle_alpha 76.43
_cell_angle_beta 85.73
_cell_angle_gamma 113.86
_space_group_name_H-M_alt 'P 1'
_space_group_IT_number 1
_space_group_name_Hall 'P 1'
loop_
_atom_site_label
_atom_site_fract_x
_atom_site_fract_y
_atom_site_fract_z
Hg1 0.5000 0.5000 0.0000
La1 0.0000 0.0000 0.0000
La2 0.5000 0.0000 0.5000
Ba1 0.0000 0.5000 0.5000
```

***

Mass density
In order: 7.2 7.1
Unit: g cm⁻³
Final energy
In order: -12.4 -12.2
Unit: eV for the cell shown